1.
# LaCdGa

An optimized crystal structure of LaCdGa (GGA-PBE, Alexandria via LeMat-Bulk). Values from VASP.

Geometry as Quantum ESPRESSO input:
```
&SYSTEM
  ibrav = 0, nat = 6, ntyp = 3
/
ATOMIC_SPECIES
La 138.91 La.upf
Cd 112.41 Cd.upf
Ga 69.72 Ga.upf
CELL_PARAMETERS angstrom
-2.437 4.022 3.890
2.437 -4.022 3.890
2.437 4.022 -3.890
ATOMIC_POSITIONS angstrom
La 1.219 1.756 0.000
La 1.219 2.267 3.890
Cd 1.219 -0.752 5.459
Cd 1.219 4.775 1.569
Ga 1.219 -0.623 2.370
Ga 1.219 4.645 -1.520
```

Computed properties:
Uncorrected energy, eV per atom: -3.451
Symmetry: Ima2, No. 46
Energy of formation, eV per atom: -0.49
Size of the total moment, μB per atom: 0.000

2.
# Ac2Pr7Sm4

An optimized crystal structure of Ac2Pr7Sm4 (GGA-PBE, Alexandria via LeMat-Bulk). Values from VASP.

Geometry as Quantum ESPRESSO input:
```
&SYSTEM
  ibrav = 0, nat = 13, ntyp = 3
/
ATOMIC_SPECIES
Ac 227.00 Ac.upf
Pr 140.91 Pr.upf
Sm 150.36 Sm.upf
CELL_PARAMETERS angstrom
6.415 0.000 0.000
-3.207 5.555 0.000
0.000 0.000 13.506
ATOMIC_POSITIONS angstrom
Ac 0.000 3.703 0.000
Ac 3.207 1.852 0.000
Pr 0.000 0.000 0.000
Pr -1.188 2.057 3.073
Pr -2.020 3.498 10.434
Pr 2.376 0.000 3.073
Pr 1.188 2.057 10.434
Pr 4.039 0.000 10.434
Pr 2.020 3.498 3.073
Sm 0.000 0.000 5.312
Sm 0.000 0.000 8.195
Sm 0.000 3.703 6.753
Sm 3.207 1.852 6.753
```

Computed properties:
Uncorrected energy, eV per atom: -4.493
Symmetry: P-31m, No. 162
Energy of formation, eV per atom: 0.17
Size of the total moment, μB per atom: 0.000

3.
# Mg5In2Cu2Pd

An optimized crystal structure of Mg5In2Cu2Pd (GGA-PBE, Alexandria via LeMat-Bulk). Values from VASP.

Geometry as Quantum ESPRESSO input:
```
&SYSTEM
  ibrav = 0, nat = 20, ntyp = 4
/
ATOMIC_SPECIES
Mg 24.30 Mg.upf
In 114.82 In.upf
Cu 63.55 Cu.upf
Pd 106.42 Pd.upf
CELL_PARAMETERS angstrom
10.478 0.000 0.000
0.000 10.478 0.000
0.000 0.000 3.519
ATOMIC_POSITIONS angstrom
Mg 0.000 5.239 0.000
Mg 0.654 2.054 0.000
Mg 2.054 9.824 0.000
Mg 3.185 4.585 0.000
Mg 4.585 7.292 0.000
Mg 5.239 0.000 0.000
Mg 5.893 3.185 0.000
Mg 7.292 5.893 0.000
Mg 8.424 0.654 0.000
Mg 9.824 8.424 0.000
In 1.823 7.062 1.759
In 3.416 1.823 1.759
In 7.062 8.655 1.759
In 8.655 3.416 1.759
Cu 1.375 3.863 1.759
Cu 3.863 9.102 1.759
Cu 6.614 1.375 1.759
Cu 9.102 6.614 1.759
Pd 0.000 0.000 1.759
Pd 5.239 5.239 1.759
```

Computed properties:
Uncorrected energy, eV per atom: -2.855
Symmetry: P4/mbm, No. 127
Energy of formation, eV per atom: -0.17
Size of the total moment, μB per atom: 0.000

4.
# VIn

An optimized crystal structure of VIn (GGA-PBE, Alexandria via LeMat-Bulk). Values from VASP.

Geometry as Quantum ESPRESSO input:
```
&SYSTEM
  ibrav = 0, nat = 4, ntyp = 2
/
ATOMIC_SPECIES
V 50.94 V.upf
In 114.82 In.upf
CELL_PARAMETERS angstrom
1.618 -7.473 0.000
1.618 7.473 0.000
0.000 0.000 3.132
ATOMIC_POSITIONS angstrom
V 1.618 4.274 2.349
V 1.618 -4.274 0.783
In 1.618 1.341 2.349
In 1.618 -1.341 0.783
```

Computed properties:
Uncorrected energy, eV per atom: -5.793
Symmetry: Cmcm, No. 63
Energy of formation, eV per atom: 0.14
Size of the total moment, μB per atom: 0.000